Compound: Fe2MoPtF
Source: Alexandria via LeMat-Bulk
Functional: PBE with a Hubbard U
Structure: optimized geometry

The space group is P4/mmm (No. 123) and the conventional cell measures 4.977, 4.977 and 5.078 Å, with angles of 90.00, 90.00 and 90.00 degrees. The asymmetric unit holds Fe at (0.000, 0.500, 0.000), Mo at (0.000, 0.000, 0.500), Pt at (0.000, 0.000, 0.000) and F at (0.500, 0.500, 0.500).

For the volume, the calculation gives 25.155 Å³/atom. The electronic total energy comes out at -4.601 eV per atom.